Model w:
Compound: AcTb7Pr4
Source: Alexandria
Functional: PBE-GGA
Structure: optimized geometry

The value obtained for the volume is 429.9 Å³/f.u. For the total magnetization, the calculation gives 0.00 μB/f.u. The density of states at the Fermi level comes out at 39.1 states/eV per cell.

The space group is C2/m (No. 12) and the conventional cell measures 12.398, 6.146 and 12.860 Å, with angles of 90.00, 118.66 and 90.00 degrees. The inequivalent atoms are Ac at (0.000, 0.000, 0.000), Tb at (0.000, 0.500, 0.000), Tb at (0.131, 0.000, 0.498), Tb at (0.205, 0.500, 0.921), Tb at (0.225, 0.500, 0.667), Pr at (0.067, 0.500, 0.324) and Pr at (0.145, 0.000, 0.776).

Model x:
Compound: AcTb7Pr4
Source: Alexandria
Functional: PBE-GGA
Structure: optimized geometry

The value obtained for the volume is 413.6 Å³/f.u. For the total magnetization, the calculation gives 0.00 μB/f.u. The density of states at the Fermi level comes out at 16.8 states/eV per cell.

The space group is P-1 (No. 2) and the conventional cell measures 6.370, 7.351 and 9.084 Å, with angles of 90.11, 103.51 and 90.01 degrees. The inequivalent atoms are Ac at (0.000, 0.000, 0.000), Tb at (0.000, 0.500, 0.000), Tb at (0.224, 0.999, 0.665), Tb at (0.279, 0.250, 0.334), Tb at (0.500, 0.251, 0.001), Pr at (0.222, 0.499, 0.669) and Pr at (0.280, 0.749, 0.336).

Stability order, top to bottom: model x, model w

Model w:
Compound: AcTb3Pr6
Source: Alexandria
Functional: PBE-GGA
Structure: optimized geometry

The value obtained for the volume is 360.6 Å³/f.u. For the total magnetization, the calculation gives 0.00 μB/f.u. The density of states at the Fermi level comes out at 29.8 states/eV per cell.

The space group is P2_1/m (No. 11) and the conventional cell measures 12.953, 3.740 and 14.980 Å, with angles of 90.00, 96.46 and 90.00 degrees. The inequivalent atoms are Ac at (0.156, 0.250, 0.368), Tb at (0.045, 0.250, 0.792), Tb at (0.438, 0.250, 0.318), Tb at (0.460, 0.250, 0.092), Pr at (0.101, 0.250, 0.034), Pr at (0.109, 0.750, 0.584), Pr at (0.257, 0.750, 0.184), Pr at (0.275, 0.750, 0.924), Pr at (0.334, 0.250, 0.728) and Pr at (0.372, 0.750, 0.507).

Model x:
Compound: AcTb3Pr6
Source: Alexandria
Functional: PBE-GGA
Structure: optimized geometry

The value obtained for the volume is 360.4 Å³/f.u. For the total magnetization, the calculation gives 0.00 μB/f.u. The density of states at the Fermi level comes out at 57.6 states/eV per cell.

The space group is Cmc2_1 (No. 36) and the conventional cell measures 10.072, 15.269 and 9.374 Å, with angles of 90.00, 90.00 and 90.00 degrees. The inequivalent atoms are Ac at (0.000, 0.195, 0.000), Tb at (0.000, 0.036, 0.711), Tb at (0.208, 0.434, 0.568), Pr at (0.000, 0.264, 0.626), Pr at (0.000, 0.438, 0.877), Pr at (0.177, 0.352, 0.226) and Pr at (0.179, 0.136, 0.398).

Stability order, top to bottom: model w, model x

Model w:
Compound: Ac2Tb5Pr12
Source: Alexandria
Functional: PBE-GGA
Structure: optimized geometry

The value obtained for the volume is 693.5 Å³/f.u. For the total magnetization, the calculation gives 0.00 μB/f.u. The density of states at the Fermi level comes out at 52.4 states/eV per cell.

The space group is C2/m (No. 12) and the conventional cell measures 16.739, 10.203 and 8.120 Å, with angles of 90.00, 90.16 and 90.00 degrees. The inequivalent atoms are Ac at (0.000, 0.210, 0.000), Tb at (0.000, 0.000, 0.500), Tb at (0.147, 0.500, 0.915), Tb at (0.249, 0.000, 0.507), Pr at (0.051, 0.500, 0.289), Pr at (0.107, 0.272, 0.606), Pr at (0.168, 0.000, 0.875) and Pr at (0.195, 0.231, 0.207).

Model x:
Compound: Ac2Tb5Pr12
Source: Alexandria
Functional: PBE-GGA
Structure: optimized geometry

The value obtained for the volume is 687.0 Å³/f.u. For the total magnetization, the calculation gives 0.00 μB/f.u. The density of states at the Fermi level comes out at 53.5 states/eV per cell.

The space group is C2/m (No. 12) and the conventional cell measures 18.367, 11.894 and 6.409 Å, with angles of 90.00, 101.05 and 90.00 degrees. The inequivalent atoms are Ac at (0.000, 0.214, 0.000), Tb at (0.000, 0.500, 0.500), Tb at (0.175, 0.000, 0.892), Tb at (0.217, 0.500, 0.562), Pr at (0.083, 0.000, 0.366), Pr at (0.103, 0.263, 0.611), Pr at (0.105, 0.500, 0.023) and Pr at (0.206, 0.258, 0.216).

Stability order, top to bottom: model x, model w

Model w:
Compound: AcTb8Pr2
Source: Alexandria
Functional: PBE-GGA
Structure: optimized geometry

The value obtained for the volume is 378.6 Å³/f.u. For the total magnetization, the calculation gives 0.00 μB/f.u. The density of states at the Fermi level comes out at 30.1 states/eV per cell.

The space group is Immm (No. 71) and the conventional cell measures 5.581, 8.346 and 16.258 Å, with angles of 90.00, 90.00 and 90.00 degrees. The inequivalent atoms are Ac at (0.000, 0.000, 0.000), Tb at (0.000, 0.203, 0.500), Tb at (0.000, 0.296, 0.144), Tb at (0.000, 0.500, 0.340) and Pr at (0.000, 0.000, 0.300).

Model x:
Compound: AcTb8Pr2
Source: Alexandria
Functional: PBE-GGA
Structure: optimized geometry

The value obtained for the volume is 381.1 Å³/f.u. For the total magnetization, the calculation gives 0.00 μB/f.u. The density of states at the Fermi level comes out at 33.5 states/eV per cell.

The space group is C2/m (No. 12) and the conventional cell measures 16.648, 6.798 and 6.819 Å, with angles of 90.00, 99.06 and 90.00 degrees. The inequivalent atoms are Ac at (0.000, 0.000, 0.000), Tb at (0.088, 0.500, 0.908), Tb at (0.092, 0.268, 0.422), Tb at (0.241, 0.000, 0.293) and Pr at (0.210, 0.000, 0.788).

Stability order, top to bottom: model w, model x

Model w:
Compound: Ac2Tb3Pr4
Source: Alexandria
Functional: PBE-GGA
Structure: optimized geometry

The value obtained for the volume is 335.8 Å³/f.u. For the total magnetization, the calculation gives 0.01 μB/f.u. The density of states at the Fermi level comes out at 17.2 states/eV per cell.

The space group is P3m1 (No. 156) and the conventional cell measures 3.7423, 3.7423 and 27.6905 Å, with angles of 90.00, 90.00 and 120.00 degrees. The inequivalent atoms are Ac at (0.0000, 0.0000, 0.0000), Ac at (0.0000, 0.0000, 0.2193), Tb at (0.0000, 0.0000, 0.7782), Tb at (0.3333, 0.6667, 0.1109), Tb at (0.3333, 0.6667, 0.4566), Pr at (0.0000, 0.0000, 0.3544), Pr at (0.0000, 0.0000, 0.5626), Pr at (0.3333, 0.6667, 0.6726) and Pr at (0.3333, 0.6667, 0.8825).

Model x:
Compound: Ac2Tb3Pr4
Source: Alexandria
Functional: PBE-GGA
Structure: optimized geometry

The value obtained for the volume is 331.6 Å³/f.u. For the total magnetization, the calculation gives 0.00 μB/f.u. The density of states at the Fermi level comes out at 22.7 states/eV per cell.

The space group is P2_1/c (No. 14) and the conventional cell measures 8.877, 8.887 and 9.039 Å, with angles of 90.00, 111.54 and 90.00 degrees. The inequivalent atoms are Ac at (0.176, 0.152, 0.048), Tb at (0.249, 0.674, 0.252), Tb at (0.500, 0.000, 0.500), Pr at (0.086, 0.538, 0.868) and Pr at (0.484, 0.137, 0.854).

Stability order, top to bottom: model w, model x

Model w:
Compound: AcTb2Pr7
Source: Alexandria
Functional: PBE-GGA
Structure: optimized geometry

The value obtained for the volume is 362.2 Å³/f.u. For the total magnetization, the calculation gives 0.00 μB/f.u. The density of states at the Fermi level comes out at 17.8 states/eV per cell.

The space group is P-1 (No. 2) and the conventional cell measures 6.419, 6.446 and 9.821 Å, with angles of 109.10, 102.53 and 99.57 degrees. The inequivalent atoms are Ac at (0.000, 0.000, 0.000), Tb at (0.001, 0.201, 0.404), Pr at (0.002, 0.602, 0.207), Pr at (0.493, 0.600, 0.696), Pr at (0.498, 0.203, 0.897) and Pr at (0.500, 0.000, 0.500).

Model x:
Compound: AcTb2Pr7
Source: Alexandria
Functional: PBE-GGA
Structure: optimized geometry

The value obtained for the volume is 435.6 Å³/f.u. For the total magnetization, the calculation gives 0.00 μB/f.u. The density of states at the Fermi level comes out at 29.0 states/eV per cell.

The space group is Cmmm (No. 65) and the conventional cell measures 9.085, 16.274 and 5.893 Å, with angles of 90.00, 90.00 and 90.00 degrees. The inequivalent atoms are Ac at (0.000, 0.000, 0.000), Tb at (0.000, 0.297, 0.500), Pr at (0.000, 0.238, 0.000), Pr at (0.000, 0.500, 0.500) and Pr at (0.181, 0.119, 0.500).

Stability order, top to bottom: model w, model x